No. 1
Here is an optimized crystal structure of Pr3TcBi from the Alexandria database. Energies are from GGA-PBE.

Calculated values
* symmetry: Pm-3m (221)
* formation enthalpy at 0 K: -0.59 eV/f.u.

Lattice parameters (Å, degrees): 5.4562 5.4562 5.4562 90.00 90.00 90.00
Closest atoms and distances in Å follow each position.
Sites, in units of the cell vectors:
Pr  0.0000  0.5000  0.0000  2 Tc 2.73
Pr  0.5000  0.0000  0.0000  2 Tc 2.73
Pr  0.0000  0.0000  0.5000  2 Tc 2.73
Tc  0.0000  0.0000  0.0000  6 Pr 2.73
Bi  0.5000  0.5000  0.5000  12 Pr 3.86

=====

No. 2
Here is an optimized crystal structure of Ho4Hg5Ir2 from the Alexandria database. Energies are from GGA-PBE.

Calculated values
* symmetry: P2/m (10)
* formation enthalpy at 0 K: -6.15 eV/f.u.

Lattice parameters (Å, degrees): 3.6149 7.6949 9.5137 94.97 90.00 90.00
Closest atoms and distances in Å follow each position.
Sites, in units of the cell vectors:
Hg  0.0000  0.4602  0.6666  1 Ir 2.91, 2 Hg 3.16-3.24
Hg  0.0000  0.5398  0.3334  1 Ir 2.91, 2 Hg 3.16-3.24
Hg  0.0000  0.8310  0.8564  1 Ir 2.93, 2 Hg 2.99-3.24, 2 Ho 3.24
Hg  0.0000  0.5000  0.0000  4 Hg 2.99-3.16, 4 Ho 3.28
Hg  0.0000  0.1690  0.1436  1 Ir 2.93, 2 Hg 2.99-3.24, 2 Ho 3.24
Ho  0.5000  0.7878  0.5609  4 Ir 2.88-2.94
Ho  0.5000  0.1801  0.8505  2 Ir 2.75
Ho  0.5000  0.8199  0.1495  2 Ir 2.75
Ho  0.5000  0.2122  0.4391  4 Ir 2.88-2.94
Ir  0.0000  0.9196  0.3591  6 Ho 2.75-2.94, 1 Ir 2.85, 2 Hg 2.91-2.93
Ir  0.0000  0.0804  0.6409  6 Ho 2.75-2.94, 1 Ir 2.85, 2 Hg 2.91-2.93

=====

No. 3
Here is an optimized crystal structure of PrNd7Sc2 from the Alexandria database. Energies are from GGA-PBE.

Calculated values
* symmetry: Cmmm (65)
* formation enthalpy at 0 K: 5.90 eV/f.u.

Lattice parameters (Å, degrees): 5.6748 8.9674 8.9674 119.54 90.00 90.00
Closest atoms and distances in Å follow each position.
Sites, in units of the cell vectors:
Nd  0.5000  0.5000  0.5000  2 Sc 3.13, 4 Nd 3.44
Nd  0.0000  0.7481  0.2519  2 Sc 2.93
Nd  0.5000  0.6943  0.9395  2 Sc 3.11-3.18, 2 Nd 3.31-3.44
Nd  0.5000  0.3057  0.0605  2 Sc 3.11-3.18, 2 Nd 3.31-3.44
Nd  0.5000  0.0605  0.3057  2 Sc 3.11-3.18, 2 Nd 3.31-3.44
Nd  0.5000  0.9395  0.6943  2 Sc 3.11-3.18, 2 Nd 3.31-3.44
Nd  0.0000  0.2519  0.7481  2 Sc 2.93
Sc  0.5000  0.7018  0.2982  7 Nd 2.93-3.18
Sc  0.5000  0.2982  0.7018  7 Nd 2.93-3.18
Pr  0.0000  0.0000  0.0000  10 Nd 3.79-3.90

=====

No. 4
Here is an optimized crystal structure of CaPmSi2 from the Alexandria database. Energies are from GGA-PBE.

Calculated values
* symmetry: P4/mmm (123)
* uncorrected formation energy: -136 kJ/mol of formula units

Lattice parameters (Å, degrees): 4.1070 4.7131 4.7131 90.00 90.00 90.00
Closest atoms and distances in Å follow each position.
Sites, in units of the cell vectors:
Ca  0.5000  0.0000  0.0000  8 Si 3.13, 4 Pm 3.33
Si  0.0000  0.5000  0.0000  4 Pm 3.13, 4 Ca 3.13, 4 Si 3.33
Si  0.0000  0.0000  0.5000  4 Ca 3.13, 4 Pm 3.13, 4 Si 3.33
Pm  0.5000  0.5000  0.5000  8 Si 3.13, 4 Ca 3.33

=====

No. 5
Here is an optimized crystal structure of Hg4Sb3Pb4 from the Alexandria database. Energies are from GGA-PBE.

Calculated values
* symmetry: Immm (71)
* uncorrected formation energy: 132 kJ/mol of formula units

Lattice parameters (Å, degrees): 3.4560 9.5169 11.4739 114.50 98.66 90.00
Closest atoms and distances in Å follow each position.
Sites, in units of the cell vectors:
Pb  0.5000  0.2129  0.0000  6 Sb 3.23-3.37, 2 Hg 3.32, 2 Pb 3.46
Pb  0.7314  0.2314  0.4628  2 Sb 3.20, 6 Hg 3.39-3.47, 2 Pb 3.46
Pb  0.5000  0.7871  0.0000  6 Sb 3.23-3.37, 2 Hg 3.32, 2 Pb 3.46
Pb  0.2686  0.7686  0.5372  2 Sb 3.20, 6 Hg 3.39-3.47, 2 Pb 3.46
Hg  0.3470  0.5239  0.6940  4 Pb 3.32-3.47, 3 Hg 3.37-3.46, 2 Sb 3.69
Hg  0.6530  0.8300  0.3060  4 Pb 3.32-3.47, 3 Hg 3.37-3.46, 2 Sb 3.69
Hg  0.3470  0.1700  0.6940  4 Pb 3.32-3.47, 3 Hg 3.37-3.46, 2 Sb 3.69
Hg  0.6530  0.4761  0.3060  4 Pb 3.32-3.47, 3 Hg 3.37-3.46, 2 Sb 3.69
Sb  0.1004  0.1004  0.2009  6 Pb 3.20-3.37, 2 Sb 3.46
Sb  0.8996  0.8996  0.7991  6 Pb 3.20-3.37, 2 Sb 3.46
Sb  0.0000  0.5000  0.0000  4 Pb 3.23, 2 Sb 3.46

=====

No. 6
Here is an optimized crystal structure of TaNiHg3 from the Alexandria database. Energies are from GGA-PBE.

Calculated values
* symmetry: Pm-3m (221)
* formation enthalpy at 0 K: 5.28 eV/f.u.
* offset from the most stable computed form: 0.00 eV/f.u.

Lattice parameters (Å, degrees): 4.7870 4.7870 4.7870 90.00 90.00 90.00
Closest atoms and distances in Å follow each position.
Sites, in units of the cell vectors:
Ta  0.5000  0.5000  0.5000  12 Hg 3.38
Ni  0.0000  0.0000  0.0000  6 Hg 2.39
Hg  0.0000  0.0000  0.5000  2 Ni 2.39
Hg  0.0000  0.5000  0.0000  2 Ni 2.39
Hg  0.5000  0.0000  0.0000  2 Ni 2.39

=====

No. 7
Here is an optimized crystal structure of NaHoCuAu from the Alexandria database. Energies are from GGA-PBE.

Calculated values
* symmetry: F-43m (216)
* formation enthalpy at 0 K: -1.03 eV/f.u.

Lattice parameters (Å, degrees): 4.9010 4.9010 4.9010 60.00 60.00 60.00
Closest atoms and distances in Å follow each position.
Sites, in units of the cell vectors:
Ho  0.0000  0.0000  0.0000  4 Cu 3.00, 4 Au 3.00
Cu  0.2500  0.2500  0.2500  4 Na 3.00, 4 Ho 3.00
Na  0.5000  0.5000  0.5000  4 Au 3.00, 4 Cu 3.00
Au  0.7500  0.7500  0.7500  4 Ho 3.00, 4 Na 3.00

=====

No. 8
Here is an optimized crystal structure of TaNb3Ag from the Alexandria database. Energies are from GGA-PBE.

Calculated values
* symmetry: Pm-3m (221)
* formation enthalpy at 0 K: 7.42 eV/f.u.
* offset from the most stable computed form: 0.00 eV/f.u.

Lattice parameters (Å, degrees): 4.9008 4.9008 4.9008 90.00 90.00 90.00
Closest atoms and distances in Å follow each position.
Sites, in units of the cell vectors:
Ag  0.5000  0.5000  0.5000  12 Nb 3.47
Nb  0.0000  0.0000  0.5000  2 Ta 2.45
Nb  0.5000  0.0000  0.0000  2 Ta 2.45
Nb  0.0000  0.5000  0.0000  2 Ta 2.45
Ta  0.0000  0.0000  0.0000  6 Nb 2.45

=====

No. 9
Here is an optimized crystal structure of NpMn2Si from the Alexandria database. Energies are from GGA-PBE.

Calculated values
* symmetry: P4/mmm (123)
* uncorrected formation energy: -41 kJ/mol of formula units
* offset from the most stable computed form: 0.22 eV/f.u.

Lattice parameters (Å, degrees): 3.3502 4.0978 4.0978 90.00 90.00 90.00
Closest atoms and distances in Å follow each position.
Sites, in units of the cell vectors:
Mn  0.0000  0.0000  0.5000  4 Np 2.65, 4 Si 2.65, 4 Mn 2.90
Mn  0.0000  0.5000  0.0000  4 Np 2.65, 4 Si 2.65, 4 Mn 2.90
Np  0.5000  0.0000  0.0000  8 Mn 2.65, 4 Si 2.90
Si  0.5000  0.5000  0.5000  8 Mn 2.65, 4 Np 2.90

=====

No. 10
Here is an optimized crystal structure of SrTiNb2N4 from the Alexandria database. Energies are from GGA-PBE.

Calculated values
* symmetry: Cmcm (63)
* uncorrected formation energy: -814 kJ/mol of formula units

Lattice parameters (Å, degrees): 3.2395 5.8394 11.2628 90.00 90.00 106.10
Closest atoms and distances in Å follow each position.
Sites, in units of the cell vectors:
N  0.7376  0.4752  0.6112  1 Ti 1.93, 1 Nb 2.07
N  0.4336  0.8672  0.7500  2 Ti 1.93
N  0.2624  0.5248  0.3888  1 Ti 1.93, 1 Nb 2.07
N  0.2624  0.5248  0.1112  1 Ti 1.93, 1 Nb 2.07
N  0.5664  0.1328  0.2500  2 Ti 1.93
N  0.0000  0.0000  0.5000  4 Nb 2.22
N  0.0000  0.0000  0.0000  4 Nb 2.22
N  0.7376  0.4752  0.8888  1 Ti 1.93, 1 Nb 2.07
Nb  0.6298  0.2596  0.0381  3 N 2.07-2.22
Nb  0.3702  0.7404  0.9619  3 N 2.07-2.22
Nb  0.6298  0.2596  0.4619  3 N 2.07-2.22
Nb  0.3702  0.7404  0.5381  3 N 2.07-2.22
Sr  0.1064  0.2127  0.7500  6 N 2.53-2.69
Sr  0.8936  0.7873  0.2500  6 N 2.53-2.69
Ti  0.1607  0.3214  0.2500  4 N 1.93
Ti  0.8393  0.6786  0.7500  4 N 1.93

=====

No. 11
Here is an optimized crystal structure of HoCd8 from the Alexandria database. Energies are from GGA-PBE.

Calculated values
* symmetry: C2/m (12)
* formation enthalpy at 0 K: -1.07 eV/f.u.

Lattice parameters (Å, degrees): 4.5912 7.0742 7.0742 83.98 71.06 71.06
Closest atoms and distances in Å follow each position.
Sites, in units of the cell vectors:
Ho  0.0000  0.0000  0.0000  12 Cd 3.20-3.24
Cd  0.6714  0.6592  0.9997  10 Cd 3.12-3.23, 2 Ho 3.23-3.24
Cd  0.3397  0.6620  0.6620  11 Cd 3.06-3.22, 1 Ho 3.20
Cd  0.3286  0.3408  0.0003  10 Cd 3.12-3.23, 2 Ho 3.23-3.24
Cd  0.6714  0.9997  0.6592  10 Cd 3.12-3.23, 2 Ho 3.23-3.24
Cd  0.0000  0.3376  0.6624  11 Cd 3.07-3.22, 1 Ho 3.20
Cd  0.0000  0.6624  0.3376  11 Cd 3.07-3.22, 1 Ho 3.20
Cd  0.6603  0.3380  0.3380  11 Cd 3.06-3.22, 1 Ho 3.20
Cd  0.3286  0.0003  0.3408  10 Cd 3.12-3.23, 2 Ho 3.23-3.24

=====

No. 12
Here is an optimized crystal structure of KAg2As from the Alexandria database. Energies are from GGA-PBE.

Calculated values
* symmetry: C2/m (12)
* formation enthalpy at 0 K: 0.78 eV/f.u.

Lattice parameters (Å, degrees): 5.6886 6.1954 2.9491 76.41 89.62 117.23
Closest atoms and distances in Å follow each position.
Sites, in units of the cell vectors:
K  0.5000  0.5000  0.0000  2 K 2.95, 4 Ag 3.10, 4 As 3.20-3.21
Ag  0.0000  0.0000  0.0000  6 Ag 2.95-3.21, 2 K 3.10, 2 As 3.10
Ag  0.5000  0.0000  0.5000  6 Ag 2.95-3.21, 2 As 3.10, 2 K 3.10
As  0.0000  0.5000  0.5000  2 As 2.95, 4 Ag 3.10, 4 K 3.20-3.21

=====

no.,total moment (μB per formula unit)
1,0.0
2,0.0
3,0.0
4,0.0
5,0.0
6,0.6
7,0.0
8,0.0
9,0.5
10,0.0
11,0.0
12,0.0